Entry 1:
{"formula": "Ti3Al4Rh", "functional": "PBE", "state": "optimized geometry", "cell": [[-3.3165, -0.9939, -2.9935], [3.8956, -3.1365, -3.2746], [-2.0641, -7.5783, 4.8030]], "species": ["Ti", "Ti", "Ti", "Ti", "Ti", "Ti", "Al", "Al", "Al", "Al", "Al", "Al", "Al", "Al", "Rh", "Rh"], "frac_coords": [[0.0664, 0.3858, 0.5000], [0.0627, 0.6038, 0.7668], [0.5627, 0.3962, 0.2668], [0.5664, 0.6142, 0.0000], [0.5627, 0.3962, 0.7332], [0.0627, 0.6038, 0.2332], [0.5615, 0.8730, 0.2453], [0.0680, 0.8915, 0.0000], [0.5680, 0.1085, 0.5000], [0.0615, 0.1270, 0.2547], [0.5615, 0.8730, 0.7547], [0.5668, 0.1403, 0.0000], [0.0668, 0.8597, 0.5000], [0.0615, 0.1270, 0.7453], [0.0658, 0.3580, 0.0000], [0.5658, 0.6420, 0.5000]], "space_group": "Pmn2_1, No. 31", "formation_energy_ev_per_fu": -3.26}

---

Entry 2:
{"formula": "Ti3AlRh", "functional": "PBE", "state": "optimized geometry", "cell": [[-1.2013, 2.0614, -3.9333], [2.4708, -3.0755, -2.3664], [-3.6899, -2.7305, -0.3041]], "species": ["Ti", "Ti", "Ti", "Al", "Rh"], "frac_coords": [[0.0000, 0.0000, 0.5000], [0.0000, 0.5000, 0.0000], [0.5000, 0.0000, 0.0000], [0.0000, 0.0000, 0.0000], [0.5000, 0.5000, 0.5000]], "space_group": "Pm-3m, No. 221", "formation_energy_ev_per_fu": 4.47, "relative_energy_mev_per_atom": 1263}

---

Entry 3:
{"formula": "Ti3AlRh", "functional": "PBE", "state": "optimized geometry", "cell": [[4.6908, 0.0000, 0.0000], [0.0000, 4.6908, 0.0000], [0.0000, 0.0000, 4.6908]], "species": ["Rh", "Ti", "Ti", "Ti", "Al"], "frac_coords": [[0.0000, 0.0000, 0.0000], [0.0000, 0.0000, 0.5000], [0.5000, 0.0000, 0.0000], [0.0000, 0.5000, 0.0000], [0.5000, 0.5000, 0.5000]], "space_group": "Pm-3m, No. 221", "formation_energy_ev_per_fu": 1.52, "relative_energy_mev_per_atom": 673}

---

Entry 4:
{"formula": "Ti12Al6Rh", "functional": "PBE", "state": "optimized geometry", "cell": [[6.7472, 0.5163, 0.6186], [-0.5125, 6.7475, 0.6186], [-0.5125, -0.5971, 6.7494]], "species": ["Al", "Al", "Al", "Al", "Al", "Al", "Rh", "Ti", "Ti", "Ti", "Ti", "Ti", "Ti", "Ti", "Ti", "Ti", "Ti", "Ti", "Ti"], "frac_coords": [[0.8851, 0.2570, 0.7366], [0.7366, 0.8851, 0.2570], [0.2634, 0.1149, 0.7430], [0.7430, 0.2634, 0.1149], [0.1149, 0.7430, 0.2634], [0.2570, 0.7366, 0.8851], [0.0000, 0.0000, 0.0000], [0.8504, 0.6193, 0.9469], [0.1975, 0.4785, 0.5601], [0.8025, 0.5215, 0.4399], [0.4399, 0.8025, 0.5215], [0.6193, 0.9469, 0.8504], [0.9469, 0.8504, 0.6193], [0.5601, 0.1975, 0.4785], [0.3807, 0.0531, 0.1496], [0.1496, 0.3807, 0.0531], [0.0531, 0.1496, 0.3807], [0.4785, 0.5601, 0.1975], [0.5215, 0.4399, 0.8025]], "space_group": "R-3, No. 148", "formation_energy_ev_per_fu": -5.33}

---

Number 1: electronic total energy -98.539 eV for the cell shown. Number 2: electronic total energy -30.311 eV for the cell shown. Number 3: electronic total energy -33.261 eV for the cell shown. Number 4: electronic total energy -129.877 eV for the cell shown.